Ca3Fe | GGA-PBE | optimized geometry

## Properties
total magnetization	0.52	μB per atom
calculated formation energy	0.5072	eV/atom

Structure (CIF):
```
data_Ca3Fe
_symmetry_space_group_name_H-M 'P m -3 n'
_symmetry_Int_Tables_number 223
_symmetry_space_group_name_Hall '-P 4n 2 3'
_cell_length_a 6.2936
_cell_length_b 6.2936
_cell_length_c 6.2936
_cell_angle_alpha 90.00
_cell_angle_beta 90.00
_cell_angle_gamma 90.00
loop_
_atom_site_label
_atom_site_type_symbol
_atom_site_fract_x
_atom_site_fract_y
_atom_site_fract_z
Ca1 Ca 0.0000 0.2500 0.5000
Fe1 Fe 0.0000 0.0000 0.0000
```

***

CaFe | GGA-PBE | optimized geometry

## Properties
total magnetization	1.22	μB per atom
calculated formation energy	0.2951	eV/atom

Structure (CIF):
```
data_CaFe
_symmetry_space_group_name_H-M 'P 4/n m m'
_symmetry_Int_Tables_number 129
_cell_length_a 3.3357
_cell_length_b 3.3357
_cell_length_c 8.2751
_cell_angle_alpha 90.00
_cell_angle_beta 90.00
_cell_angle_gamma 90.00
loop_
_symmetry_equiv_pos_as_xyz
'x,y,z'
'-x,-y,-z'
'-y+1/2,x,z'
'y+1/2,-x,-z'
'-x+1/2,-y+1/2,z'
'x+1/2,y+1/2,-z'
'y,-x+1/2,z'
'-y,x+1/2,-z'
'x+1/2,-y,-z'
'-x+1/2,y,z'
'-y,-x,-z'
'y,x,z'
'-x,y+1/2,-z'
'x,-y+1/2,z'
'y+1/2,x+1/2,-z'
'-y+1/2,-x+1/2,z'
loop_
_atom_site_label
_atom_site_type_symbol
_atom_site_fract_x
_atom_site_fract_y
_atom_site_fract_z
Ca1 Ca 0.2500 0.2500 0.1989
Fe1 Fe 0.2500 0.2500 0.5500
```

***

Ca5Fe4 | GGA-PBE | optimized geometry

## Properties
total magnetization	1.03	μB per atom
calculated formation energy	0.6503	eV/atom

Structure (CIF):
```
data_Ca5Fe4
_symmetry_space_group_name_H-M 'P 63/m c m'
_symmetry_Int_Tables_number 193
_symmetry_space_group_name_Hall '-P 6c 2'
_cell_length_a 8.9995
_cell_length_b 8.9995
_cell_length_c 6.2164
_cell_angle_alpha 90.00
_cell_angle_beta 90.00
_cell_angle_gamma 120.00
loop_
_atom_site_label
_atom_site_type_symbol
_atom_site_fract_x
_atom_site_fract_y
_atom_site_fract_z
Ca1 Ca 0.0000 0.2765 0.2500
Ca2 Ca 0.3333 0.6667 0.0000
Fe1 Fe 0.0000 0.0000 0.0000
Fe2 Fe 0.0000 0.3850 0.7500
```

***

Ca5Fe | GGA-PBE | optimized geometry

## Properties
total magnetization	0.51	μB per atom
calculated formation energy	0.8212	eV/atom

Structure (CIF):
```
data_Ca5Fe
_symmetry_space_group_name_H-M 'P 6/m m m'
_symmetry_Int_Tables_number 191
_symmetry_space_group_name_Hall '-P 6 2'
_cell_length_a 6.7785
_cell_length_b 6.7785
_cell_length_c 6.3592
_cell_angle_alpha 90.00
_cell_angle_beta 90.00
_cell_angle_gamma 120.00
loop_
_atom_site_label
_atom_site_type_symbol
_atom_site_fract_x
_atom_site_fract_y
_atom_site_fract_z
Ca1 Ca 0.0000 0.5000 0.0000
Ca2 Ca 0.3333 0.6667 0.5000
Fe1 Fe 0.0000 0.0000 0.5000
```

***

Copy entry 4 word for word.
Ca5Fe | GGA-PBE | optimized geometry

## Properties
total magnetization	0.51	μB per atom
calculated formation energy	0.8212	eV/atom

Structure (CIF):
```
data_Ca5Fe
_symmetry_space_group_name_H-M 'P 6/m m m'
_symmetry_Int_Tables_number 191
_symmetry_space_group_name_Hall '-P 6 2'
_cell_length_a 6.7785
_cell_length_b 6.7785
_cell_length_c 6.3592
_cell_angle_alpha 90.00
_cell_angle_beta 90.00
_cell_angle_gamma 120.00
loop_
_atom_site_label
_atom_site_type_symbol
_atom_site_fract_x
_atom_site_fract_y
_atom_site_fract_z
Ca1 Ca 0.0000 0.5000 0.0000
Ca2 Ca 0.3333 0.6667 0.5000
Fe1 Fe 0.0000 0.0000 0.5000
```

***

> calculated formation energy of number 4 (Ca5Fe)?

0.8212 eV/atom

***

> The highest calculated formation energy belongs to which entry?

Ca5Fe